{"formula": "LiAgPt2", "functional": "PBE", "state": "optimized geometry", "lattice_angstrom": [[0.000, 3.138, 3.138], [3.138, 0.000, 3.138], [3.138, 3.138, 0.000]], "species": ["Ag", "Pt", "Pt", "Li"], "fractional_positions": [[0.500, 0.500, 0.500], [0.250, 0.250, 0.250], [0.750, 0.750, 0.750], [0.000, 0.000, 0.000]], "polymorph_energy_ev_per_fu": 1.01, "vol_a3_per_cell": 61.8, "delta_e_f_ev_per_atom": -0.0927, "space_group": "Fm-3m (225)"}



{"formula": "Ti4Te3H", "functional": "PBE", "state": "optimized geometry", "lattice_angstrom": [[-3.996, 3.360, 1.006], [-4.515, -5.803, 1.446], [2.221, 0.258, 7.967]], "species": ["Ti", "Ti", "Ti", "Ti", "Ti", "Ti", "Ti", "Ti", "Te", "Te", "Te", "Te", "Te", "Te", "H", "H"], "fractional_positions": [[0.088, 0.911, 0.000], [0.562, 0.136, 0.000], [0.091, 0.244, 0.171], [0.591, 0.756, 0.329], [0.062, 0.864, 0.500], [0.588, 0.089, 0.500], [0.591, 0.756, 0.671], [0.091, 0.244, 0.829], [0.587, 0.779, 0.000], [0.089, 0.641, 0.242], [0.589, 0.359, 0.258], [0.087, 0.221, 0.500], [0.589, 0.359, 0.742], [0.089, 0.641, 0.758], [0.918, 0.131, 0.000], [0.418, 0.869, 0.500]], "vol_a3_per_cell": 329.7, "final_energy_ev_per_atom": -5.884, "space_group": "Pmn2_1 (31)"}



{"formula": "KSr3Au", "functional": "PBE", "state": "optimized geometry", "lattice_angstrom": [[-4.663, 2.643, 4.608], [3.440, -3.171, 5.299], [4.048, 5.738, 0.805]], "species": ["Sr", "Sr", "Sr", "K", "Au"], "fractional_positions": [[0.000, 0.500, 0.000], [0.000, 0.000, 0.500], [0.500, 0.000, 0.000], [0.000, 0.000, 0.000], [0.500, 0.500, 0.500]], "polymorph_energy_ev_per_fu": 5.73, "vol_a3_per_cell": 353.2, "delta_e_f_ev_per_atom": 0.8303, "space_group": "Pm-3m (221)"}



{"formula": "CsPuClF2", "functional": "PBE", "state": "optimized geometry", "lattice_angstrom": [[4.421, 0.000, 0.000], [0.000, 4.445, 0.000], [0.000, 0.000, 7.409]], "species": ["Cs", "Pu", "Cl", "F", "F"], "fractional_positions": [[0.500, 0.500, 0.636], [0.000, 0.000, 0.059], [0.000, 0.000, 0.429], [0.000, 0.500, 0.941], [0.500, 0.000, 0.936]], "vol_a3_per_cell": 145.6, "space_group": "Pmm2 (25)", "raw_formation_energy_mev_per_atom": -2599}



{"formula": "Sr2LiGa", "functional": "PBE", "state": "optimized geometry", "lattice_angstrom": [[3.960, 0.000, 0.000], [1.980, 3.430, 0.000], [1.980, 1.143, 12.154]], "species": ["Sr", "Sr", "Ga", "Li"], "fractional_positions": [[0.089, 0.089, 0.734], [0.911, 0.911, 0.266], [0.000, 0.000, 0.000], [0.500, 0.500, 0.500]], "vol_a3_per_cell": 165.1, "delta_e_f_ev_per_atom": 0.3086, "space_group": "R-3m (166)"}



{"formula": "CuNi2Pd2", "functional": "PBE", "state": "optimized geometry", "lattice_angstrom": [[7.082, 0.000, 0.000], [0.000, 7.082, 0.000], [0.000, 0.000, 2.764]], "species": ["Ni", "Ni", "Ni", "Ni", "Cu", "Cu", "Pd", "Pd", "Pd", "Pd"], "fractional_positions": [[0.382, 0.882, 0.000], [0.882, 0.618, 0.000], [0.618, 0.118, 0.000], [0.118, 0.382, 0.000], [0.000, 0.000, 0.000], [0.500, 0.500, 0.000], [0.179, 0.679, 0.500], [0.679, 0.821, 0.500], [0.821, 0.321, 0.500], [0.321, 0.179, 0.500]], "polymorph_energy_ev_per_fu": 0.75, "vol_a3_per_cell": 138.6, "delta_e_f_ev_per_atom": 0.1941, "space_group": "P4/mbm (127)"}



{"formula": "Ca5ErPt6", "functional": "PBE", "state": "optimized geometry", "lattice_angstrom": [[-0.014, 1.773, 4.577], [-6.563, -2.414, 0.915], [2.691, -5.507, 4.773]], "species": ["Ca", "Ca", "Ca", "Ca", "Ca", "Pt", "Pt", "Pt", "Pt", "Pt", "Pt", "Er"], "fractional_positions": [[0.666, 0.500, 0.667], [0.329, 0.000, 0.342], [0.000, 0.500, 0.000], [0.671, 0.000, 0.658], [0.334, 0.500, 0.333], [0.840, 0.755, 0.319], [0.840, 0.245, 0.319], [0.500, 0.232, 0.000], [0.500, 0.768, 0.000], [0.160, 0.755, 0.681], [0.160, 0.245, 0.681], [0.000, 0.000, 0.000]], "vol_a3_per_cell": 255.2, "delta_e_f_ev_per_atom": -0.9656, "space_group": "Cmmm (65)"}



{"formula": "Li2ZrFe", "functional": "PBE", "state": "optimized geometry", "lattice_angstrom": [[-2.313, -0.951, 1.966], [0.089, -3.680, -1.676], [3.450, -1.447, 3.361]], "species": ["Fe", "Li", "Li", "Zr"], "fractional_positions": [[0.000, 0.500, 0.500], [0.000, 0.000, 0.000], [0.500, 0.500, 0.000], [0.500, 0.000, 0.500]], "polymorph_energy_ev_per_fu": 0.13, "vol_a3_per_cell": 64.7, "delta_e_f_ev_per_atom": 0.2066, "space_group": "Pmmm (47)"}



no.,Fermi-level density of states (states/eV/f.u.)
1,2.330
2,5.123
3,3.317
4,15.240
5,3.458
6,7.879
7,2.080
8,2.826